# Tb4Dy5In

An optimized crystal structure of Tb4Dy5In (GGA-PBE, the Alexandria database).

Output
- formation energy from the elements (kJ/mol of formula units) = 112
- excess energy over the best structure of this formula in the dataset (meV/atom) = 96.7
- N(E_F) (states/eV/f.u.) = 14.10

Geometry as CIF:
```
data_Tb4Dy5In
_cell_length_a 10.5872
_cell_length_b 10.5872
_cell_length_c 5.7981
_cell_angle_alpha 90.00
_cell_angle_beta 90.00
_cell_angle_gamma 90.00
_space_group_name_H-M_alt 'I 4 m m'
_space_group_IT_number 107
_space_group_name_Hall 'I 4 -2'
loop_
_atom_site_label
_atom_site_fract_x
_atom_site_fract_y
_atom_site_fract_z
_atom_site_occupancy
Tb1 0.0000 0.3146 0.0000 1
Dy1 0.0000 0.0000 0.2105 1
Dy2 0.1857 0.1857 0.4964 1
In1 0.0000 0.0000 0.7278 1
```